Here is ThCoF after structural relaxation from the Alexandria database. Energies are from GGA+U.

Properties
Calculated total energy, eV/atom: -6.23
Crystal system: monoclinic

Cell: 6.6451 4.2864 7.9054 Å, 90.00 105.38 90.00°
With the nearest neighbours (Å) after each atom.
Space group C2/m (No. 12)
Asymmetric unit:
1 Th 0.0838 0.0000 0.2440 x4  4 F 2.57-2.74, 1 Co 2.73
2 Co 0.1812 0.5000 0.9924 x4  3 Co 2.32-2.44
3 F 0.2009 0.0000 0.5804 x4  4 Th 2.57-2.74, 3 F 2.64-2.66